4
Lattice="-4.610 0.430 4.193 0.195 -5.879 2.102 3.534 5.150 -0.119" Properties=species:S:1:pos:R:3 comment="Sr2ZnCl | the Alexandria database | GGA-PBE | relaxed" formation_energy_uncorrected_mev_per_atom=-726.9 crystal_system=orthorhombic pbc="T T T"
Zn -1.642 1.428 3.611
Cl 0.761 -1.727 2.566
Sr -0.122 -0.150 0.174
Sr -2.085 -2.574 2.974